# AcHoNiRu

A geometry-optimized AcHoNiRu structure (PBE-GGA, Alexandria via LeMat-Bulk).

Lattice parameters (Å, degrees): 4.996 4.996 4.996 60.00 60.00 60.00
Atoms (fractional coordinates):
Ni 0.750 0.750 0.750
Ru 0.250 0.250 0.250
Ac 0.500 0.500 0.500
Ho 0.000 0.000 0.000

- calculated formation energy (eV/f.u.) = -0.6
- magnetization (μB per atom) = 0.00
- crystal system = cubic
- uncorrected energy (eV/cell) = -24.38
- density (Mg/m³) = 10.39

---

# TiCrReMo

A geometry-optimized TiCrReMo structure (PBE-GGA, Alexandria via LeMat-Bulk).

Lattice parameters (Å, degrees): 4.350 4.350 4.350 60.00 60.00 60.00
Atoms (fractional coordinates):
Cr 0.000 0.000 0.000
Mo 0.750 0.750 0.750
Ti 0.250 0.250 0.250
Re 0.500 0.500 0.500

- calculated formation energy (eV/f.u.) = -0.8
- magnetization (μB per atom) = 0.00
- crystal system = cubic
- uncorrected energy (eV/cell) = -41.55
- density (Mg/m³) = 10.90

---

# BeZn6O6

A geometry-optimized BeZn6O6 structure (PBE-GGA, Alexandria via LeMat-Bulk).

Lattice parameters (Å, degrees): 5.697 5.697 5.697 90.00 90.00 90.00
Atoms (fractional coordinates):
Zn 0.000 0.752 0.500
Zn 0.500 0.000 0.752
Zn 0.000 0.248 0.500
O 0.500 0.253 0.000
Be 0.000 0.000 0.000
O 0.747 0.000 0.500
O 0.253 0.000 0.500
O 0.000 0.500 0.253
Zn 0.752 0.500 0.000
O 0.500 0.747 0.000
Zn 0.248 0.500 0.000
Zn 0.500 0.000 0.248
O 0.000 0.500 0.747

- energy relative to the elements, uncorrected (eV/atom) = -1.007
- magnetization (μB per atom) = 0.00
- crystal system = cubic
- uncorrected energy (eV/cell) = -54.21
- density (Mg/m³) = 4.47

---

# GeTeRh

A geometry-optimized GeTeRh structure (PBE-GGA, Alexandria via LeMat-Bulk).

Lattice parameters (Å, degrees): 4.446 4.446 4.446 60.00 60.00 60.00
Atoms (fractional coordinates):
Te 0.500 0.500 0.500
Ge 0.000 0.000 0.000
Rh 0.250 0.250 0.250

- energy relative to the elements, uncorrected (eV/atom) = -0.256
- magnetization (μB per atom) = 0.00
- crystal system = cubic
- uncorrected energy (eV/cell) = -15.88
- density (Mg/m³) = 8.10

---

# Pr4Tm5Cd2

A geometry-optimized Pr4Tm5Cd2 structure (PBE-GGA, Alexandria via LeMat-Bulk).

Lattice parameters (Å, degrees): 3.512 8.638 11.349 94.00 90.00 90.00
Atoms (fractional coordinates):
Pr 0.500 0.715 0.549
Cd 0.000 0.946 0.369
Pr 0.500 0.146 0.882
Tm 0.000 0.796 0.831
Tm 0.000 0.426 0.708
Tm 0.000 0.500 0.000
Cd 0.000 0.054 0.631
Pr 0.500 0.854 0.118
Pr 0.500 0.285 0.451
Tm 0.000 0.574 0.292
Tm 0.000 0.204 0.169

- calculated formation energy (eV/f.u.) = 0.2
- magnetization (μB per atom) = 0.00
- crystal system = monoclinic
- uncorrected energy (eV/cell) = -43.14
- density (Mg/m³) = 7.90

---

# BaYb2F8

A geometry-optimized BaYb2F8 structure (PBE-GGA, Alexandria via LeMat-Bulk).

Lattice parameters (Å, degrees): 4.190 6.485 6.485 115.83 89.75 89.75
Atoms (fractional coordinates):
F 0.489 0.671 0.922
Yb 0.500 0.295 0.699
Yb 0.500 0.699 0.295
F 0.000 0.241 0.752
F 0.158 0.421 0.421
F 0.000 0.752 0.241
F 0.489 0.922 0.671
F 0.510 0.323 0.072
Ba 0.000 0.997 0.997
F 0.842 0.573 0.573
F 0.510 0.072 0.323

- energy relative to the elements, uncorrected (eV/atom) = -3.317
- magnetization (μB per atom) = 0.00
- crystal system = monoclinic
- uncorrected energy (eV/cell) = -56.43
- density (Mg/m³) = 6.65

---

# Ni3Pt4Rh2

A geometry-optimized Ni3Pt4Rh2 structure (PBE-GGA, Alexandria via LeMat-Bulk).

Lattice parameters (Å, degrees): 2.698 6.432 7.577 96.92 100.25 90.00
Each line ends with the local moment (μB).
Atoms (fractional coordinates):
Ni 0.893 0.632 0.785  0.80
Pt 0.279 0.333 0.558  0.30
Ni 0.000 0.000 0.000  0.85
Pt 0.545 0.692 0.090  0.30
Rh 0.661 0.049 0.322  0.79
Ni 0.107 0.368 0.215  0.80
Rh 0.339 0.951 0.678  0.79
Pt 0.721 0.667 0.442  0.30
Pt 0.455 0.308 0.910  0.30

- calculated formation energy (eV/f.u.) = 0.4
- magnetization (μB per atom) = 0.57
- crystal system = monoclinic
- uncorrected energy (eV/cell) = -55.77
- density (Mg/m³) = 15.03

---

# AlP2Se

A geometry-optimized AlP2Se structure (PBE-GGA, Alexandria via LeMat-Bulk).

Lattice parameters (Å, degrees): 5.283 5.283 7.459 69.26 69.26 90.00
Atoms (fractional coordinates):
P 0.375 0.394 0.750
Se 0.000 0.000 0.000
Al 0.500 0.500 0.000
Se 0.750 0.250 0.500
P 0.875 0.856 0.750
P 0.606 0.125 0.250
P 0.144 0.625 0.250
Al 0.250 0.750 0.500

- energy relative to the elements, uncorrected (eV/atom) = 0.178
- magnetization (μB per atom) = 0.00
- crystal system = tetragonal
- uncorrected energy (eV/cell) = -34.67
- density (Mg/m³) = 3.09

---

# LiAcAg2Au4

A geometry-optimized LiAcAg2Au4 structure (PBE-GGA, Alexandria via LeMat-Bulk).

Lattice parameters (Å, degrees): 4.730 4.730 9.147 75.02 75.02 60.00
Atoms (fractional coordinates):
Ag 0.239 0.239 0.283
Au 0.130 0.130 0.611
Au 0.399 0.399 0.804
Au 0.870 0.870 0.389
Au 0.601 0.601 0.196
Li 0.500 0.500 0.500
Ac 0.000 0.000 0.000
Ag 0.761 0.761 0.717

- calculated formation energy (eV/f.u.) = -3.4
- magnetization (μB per atom) = 0.00
- crystal system = trigonal
- uncorrected energy (eV/cell) = -28.20
- density (Mg/m³) = 12.15

---

# Tb8Ho6Tm

A geometry-optimized Tb8Ho6Tm structure (PBE-GGA, Alexandria via LeMat-Bulk).

Lattice parameters (Å, degrees): 5.771 9.791 9.791 120.00 90.00 90.00
Atoms (fractional coordinates):
Tb 0.265 0.909 0.533
Tb 0.735 0.376 0.909
Tm 0.500 0.000 0.000
Tb 0.265 0.624 0.091
Ho 0.223 0.223 0.950
Tb 0.735 0.533 0.624
Tb 0.265 0.467 0.376
Ho 0.223 0.050 0.274
Ho 0.223 0.726 0.777
Tb 0.735 0.091 0.467
Ho 0.777 0.274 0.223
Ho 0.777 0.950 0.726
Tb 0.774 0.667 0.333
Ho 0.777 0.777 0.050
Tb 0.226 0.333 0.667

- calculated formation energy (eV/f.u.) = 2.6
- magnetization (μB per atom) = 0.00
- crystal system = trigonal
- uncorrected energy (eV/cell) = -66.38
- density (Mg/m³) = 8.42

---

# PrUTeN2

A geometry-optimized PrUTeN2 structure (PBE-GGA, Alexandria via LeMat-Bulk).

Lattice parameters (Å, degrees): 3.962 3.962 7.081 106.24 106.24 90.00
Each line ends with the local moment (μB).
Atoms (fractional coordinates):
N 0.739 0.239 0.478  -0.05
U 0.168 0.168 0.335  1.06
Pr 0.845 0.845 0.691  0.01
Te 0.509 0.509 0.019  -0.04
N 0.239 0.739 0.478  -0.05

- energy relative to the elements, uncorrected (eV/atom) = -1.434
- magnetization (μB per atom) = 0.20
- crystal system = tetragonal
- uncorrected energy (eV/cell) = -43.03
- density (Mg/m³) = 8.70

---

# PIrRu

A geometry-optimized PIrRu structure (PBE-GGA, Alexandria via LeMat-Bulk).

Lattice parameters (Å, degrees): 2.838 2.838 5.882 90.00 90.00 120.00
Atoms (fractional coordinates):
P 0.667 0.333 0.340
Ir 0.000 0.000 0.030
Ru 0.333 0.667 0.629

- calculated formation energy (eV/f.u.) = -0.4
- magnetization (μB per atom) = 0.00
- crystal system = trigonal
- uncorrected energy (eV/cell) = -23.93
- density (Mg/m³) = 13.12